Record 1
{
  "formula": "SiAg2Ru",
  "functional": "PBE",
  "state": "relaxed",
  "lattice_angstrom": [[2.724, 0.000, 0.000], [0.000, 2.724, 0.000], [0.000, 0.000, 8.838]],
  "species": ["Ag", "Ag", "Ru", "Si"],
  "frac_coords": [[0.000, 0.000, 0.001], [0.000, 0.000, 0.499], [0.500, 0.500, 0.250], [0.500, 0.500, 0.750]],
  "formation_energy_uncorrected_ev_per_atom": 0.510,
  "dos_ef_per_ev_atom": 0.86
}

---

Record 2
{
  "formula": "CdCuSiPb2",
  "functional": "PBE",
  "state": "relaxed",
  "lattice_angstrom": [[5.635, 0.000, 0.000], [0.000, 4.803, 0.000], [0.000, 0.000, 5.635]],
  "species": ["Pb", "Pb", "Si", "Cu", "Cd"],
  "frac_coords": [[0.000, 0.000, 0.500], [0.500, 0.000, 0.000], [0.500, 0.500, 0.500], [0.000, 0.500, 0.000], [0.000, 0.000, 0.000]],
  "formation_energy_uncorrected_ev_per_atom": 0.954,
  "dos_ef_per_ev_atom": 0.83
}

---

Record 3
{
  "formula": "ScMn3Rh",
  "functional": "PBE",
  "state": "relaxed",
  "lattice_angstrom": [[4.209, 0.000, 0.000], [0.000, 4.209, 0.000], [0.000, 0.000, 4.209]],
  "species": ["Sc", "Mn", "Mn", "Mn", "Rh"],
  "frac_coords": [[0.000, 0.000, 0.000], [0.000, 0.500, 0.000], [0.000, 0.000, 0.500], [0.500, 0.000, 0.000], [0.500, 0.500, 0.500]],
  "relative_energy_mev_per_atom": 1134,
  "dos_ef_per_ev_atom": 2.03,
  "delta_e_f_mev_per_atom": 1828
}

---

Record 4
{
  "formula": "CaCrRe2",
  "functional": "PBE",
  "state": "relaxed",
  "lattice_angstrom": [[4.150, 0.000, 0.000], [0.000, 2.835, 0.058], [0.000, 1.291, 6.180]],
  "species": ["Re", "Re", "Ca", "Cr"],
  "frac_coords": [[0.000, 0.982, 0.997], [0.500, 0.251, 0.176], [0.000, 0.527, 0.506], [0.500, 0.741, 0.820]],
  "relative_energy_mev_per_atom": 119,
  "dos_ef_per_ev_atom": 1.13,
  "delta_e_f_mev_per_atom": 598
}

---

Record 5
{
  "formula": "VGa2Pt",
  "functional": "PBE",
  "state": "relaxed",
  "lattice_angstrom": [[4.397, 0.000, 0.000], [2.199, 3.808, 0.000], [2.199, 1.269, 3.590]],
  "species": ["Ga", "Ga", "Pt", "V"],
  "frac_coords": [[0.250, 0.250, 0.250], [0.750, 0.750, 0.750], [0.500, 0.500, 0.500], [0.000, 0.000, 0.000]],
  "dos_ef_per_ev_atom": 0.38,
  "delta_e_f_mev_per_atom": -346
}

---

Record 6
{
  "formula": "LaNdPt2",
  "functional": "PBE",
  "state": "relaxed",
  "lattice_angstrom": [[-1.573, 2.321, 2.248], [-3.551, 1.079, -3.598], [-2.999, -3.796, 1.821]],
  "species": ["Nd", "Pt", "Pt", "La"],
  "frac_coords": [[0.500, 0.500, 0.500], [0.000, 0.000, 0.500], [0.000, 0.500, 0.000], [0.500, 0.000, 0.000]],
  "relative_energy_mev_per_atom": 115,
  "dos_ef_per_ev_atom": 0.83,
  "delta_e_f_mev_per_atom": -1061
}

---

Record 7
{
  "formula": "NaNd2Sn9",
  "functional": "PBE",
  "state": "relaxed",
  "lattice_angstrom": [[4.719, 0.000, 0.000], [0.000, 4.719, 0.000], [0.000, 0.000, 14.559]],
  "species": ["Na", "Nd", "Nd", "Sn", "Sn", "Sn", "Sn", "Sn", "Sn", "Sn", "Sn", "Sn"],
  "frac_coords": [[0.000, 0.000, 0.000], [0.000, 0.000, 0.337], [0.000, 0.000, 0.663], [0.500, 0.500, 0.000], [0.500, 0.500, 0.329], [0.500, 0.500, 0.671], [0.500, 0.000, 0.163], [0.500, 0.000, 0.500], [0.500, 0.000, 0.837], [0.000, 0.500, 0.163], [0.000, 0.500, 0.500], [0.000, 0.500, 0.837]],
  "dos_ef_per_ev_atom": 0.44,
  "delta_e_f_mev_per_atom": -374
}

---

Record 8
{
  "formula": "ScCuMo2",
  "functional": "PBE",
  "state": "relaxed",
  "lattice_angstrom": [[2.799, -0.017, 0.000], [-0.857, 2.664, 0.000], [0.000, 0.000, 8.741]],
  "species": ["Cu", "Mo", "Mo", "Sc"],
  "frac_coords": [[0.500, 0.500, 0.760], [0.000, 0.000, 0.995], [0.500, 0.500, 0.237], [0.000, 0.000, 0.508]],
  "relative_energy_mev_per_atom": 102,
  "dos_ef_per_ev_atom": 0.68,
  "delta_e_f_mev_per_atom": 142
}

---

Record 9
{
  "formula": "CeNpS4",
  "functional": "PBE",
  "state": "relaxed",
  "lattice_angstrom": [[5.269, 0.000, 0.000], [0.000, 5.269, 0.000], [-2.634, -2.634, 6.432]],
  "species": ["Ce", "Np", "S", "S", "S", "S"],
  "frac_coords": [[0.250, 0.750, 0.500], [0.500, 0.500, 0.000], [0.032, 0.532, 0.063], [0.704, 0.704, 0.407], [0.468, 0.968, 0.937], [0.296, 0.296, 0.593]],
  "relative_energy_mev_per_atom": 80,
  "formation_energy_uncorrected_ev_per_atom": -1.445,
  "dos_ef_per_ev_atom": 2.29
}

---

Record 10
{
  "formula": "GaReH",
  "functional": "PBE",
  "state": "relaxed",
  "lattice_angstrom": [[2.844, -0.011, 0.007], [-1.411, 2.576, -0.002], [-0.022, -1.656, 4.777]],
  "species": ["Ga", "Re", "H"],
  "frac_coords": [[0.215, 0.994, 0.414], [0.400, 0.365, 0.977], [0.669, 0.902, 0.806]],
  "relative_energy_mev_per_atom": 37,
  "dos_ef_per_ev_atom": 0.54
}

---

Record 11
{
  "formula": "La3In4",
  "functional": "PBE",
  "state": "relaxed",
  "lattice_angstrom": [[-2.795, 0.580, 3.694], [5.074, -3.644, 1.461], [8.011, 12.780, 4.054]],
  "species": ["La", "La", "La", "La", "La", "La", "In", "In", "In", "In", "In", "In", "In", "In"],
  "frac_coords": [[0.706, 0.411, 0.100], [0.297, 0.594, 0.901], [0.705, 0.411, 0.401], [0.297, 0.593, 0.599], [0.996, 0.992, 0.250], [0.006, 0.013, 0.751], [0.267, 0.534, 0.250], [0.736, 0.471, 0.750], [0.418, 0.836, 0.103], [0.001, 0.002, 0.000], [0.418, 0.835, 0.398], [0.585, 0.169, 0.898], [0.002, 0.003, 0.500], [0.584, 0.169, 0.603]],
  "relative_energy_mev_per_atom": 26,
  "dos_ef_per_ev_atom": 0.94,
  "delta_e_f_mev_per_atom": -451
}

---

Record 12
{
  "formula": "Zr2TlOs",
  "functional": "PBE",
  "state": "relaxed",
  "lattice_angstrom": [[3.360, 0.000, 0.000], [0.000, 3.360, 0.000], [0.000, 0.000, 7.310]],
  "species": ["Os", "Tl", "Zr", "Zr"],
  "frac_coords": [[0.000, 0.000, 0.480], [0.500, 0.500, 0.726], [0.000, 0.000, 0.006], [0.500, 0.500, 0.288]],
  "relative_energy_mev_per_atom": 308,
  "dos_ef_per_ev_atom": 0.84,
  "delta_e_f_mev_per_atom": 51
}

---

Record 13
{
  "formula": "Hf2Co17",
  "functional": "PBE",
  "state": "relaxed",
  "lattice_angstrom": [[6.162, -0.049, -0.043], [0.825, 6.106, -0.043], [0.825, 0.716, 6.064]],
  "species": ["Hf", "Hf", "Co", "Co", "Co", "Co", "Co", "Co", "Co", "Co", "Co", "Co", "Co", "Co", "Co", "Co", "Co", "Co", "Co"],
  "frac_coords": [[0.342, 0.342, 0.342], [0.658, 0.658, 0.658], [0.649, 0.649, 0.153], [0.153, 0.649, 0.649], [0.900, 0.900, 0.900], [0.100, 0.100, 0.100], [0.000, 0.000, 0.500], [0.000, 0.500, 0.000], [0.500, 0.000, 0.000], [0.295, 0.705, 0.000], [0.705, 0.000, 0.295], [0.000, 0.295, 0.705], [0.705, 0.295, 0.000], [0.295, 0.000, 0.705], [0.000, 0.705, 0.295], [0.847, 0.351, 0.351], [0.351, 0.351, 0.847], [0.351, 0.847, 0.351], [0.649, 0.153, 0.649]],
  "dos_ef_per_ev_atom": 1.09,
  "delta_e_f_mev_per_atom": -97
}

---

Record 14
{
  "formula": "MnCr2Rh",
  "functional": "PBE",
  "state": "relaxed",
  "lattice_angstrom": [[4.573, -0.003, 0.000], [1.637, 4.270, 0.000], [-3.105, -2.133, 2.592]],
  "species": ["Cr", "Cr", "Mn", "Rh"],
  "frac_coords": [[0.000, 0.000, 0.000], [0.250, 0.750, 0.500], [0.500, 0.500, 0.000], [0.750, 0.250, 0.500]],
  "relative_energy_mev_per_atom": 78,
  "dos_ef_per_ev_atom": 1.04,
  "delta_e_f_mev_per_atom": 74
}

---

Record 15
{
  "formula": "PmPaPb",
  "functional": "PBE",
  "state": "relaxed",
  "lattice_angstrom": [[-3.741, -1.179, 1.257], [-0.353, -2.417, -3.317], [4.151, -2.094, 3.641]],
  "species": ["Pb", "Pa", "Pm"],
  "frac_coords": [[0.284, 0.284, 0.567], [0.629, 0.629, 0.258], [0.937, 0.937, 0.875]],
  "relative_energy_mev_per_atom": 177,
  "dos_ef_per_ev_atom": 2.10,
  "delta_e_f_mev_per_atom": 104
}

---

Record 16
{
  "formula": "BaHPd2Pb",
  "functional": "PBE",
  "state": "relaxed",
  "lattice_angstrom": [[4.339, 0.000, 0.000], [-2.170, 6.230, 0.000], [0.000, 0.000, 7.752]],
  "species": ["Ba", "Ba", "H", "H", "Pd", "Pd", "Pd", "Pd", "Pb", "Pb"],
  "frac_coords": [[0.451, 0.902, 0.750], [0.549, 0.098, 0.250], [0.000, 0.000, 0.000], [0.000, 0.000, 0.500], [0.144, 0.289, 0.942], [0.856, 0.711, 0.058], [0.144, 0.289, 0.558], [0.856, 0.711, 0.442], [0.730, 0.460, 0.750], [0.270, 0.540, 0.250]],
  "dos_ef_per_ev_atom": 0.46,
  "total_energy_ev_per_cell": -43.30
}

---

Record 17
{
  "formula": "LuZnCuHg",
  "functional": "PBE",
  "state": "relaxed",
  "lattice_angstrom": [[-2.128, -3.908, -1.455], [0.558, -3.993, 2.379], [-3.566, -1.778, 2.458]],
  "species": ["Zn", "Lu", "Hg", "Cu"],
  "frac_coords": [[0.750, 0.750, 0.750], [0.500, 0.500, 0.500], [0.000, 0.000, 0.000], [0.250, 0.250, 0.250]],
  "dos_ef_per_ev_atom": 0.33,
  "delta_e_f_mev_per_atom": -228
}

---

Record 18
{
  "formula": "LiTm3Cd2",
  "functional": "PBE",
  "state": "relaxed",
  "lattice_angstrom": [[-2.690, -0.583, -2.564], [-0.461, -4.878, 1.594], [-5.136, 4.624, 4.336]],
  "species": ["Li", "Tm", "Tm", "Tm", "Cd", "Cd"],
  "frac_coords": [[0.000, 0.000, 0.000], [0.500, 0.500, 0.000], [0.500, 0.834, 0.667], [0.500, 0.166, 0.333], [0.000, 0.337, 0.674], [0.000, 0.663, 0.326]],
  "relative_energy_mev_per_atom": 0,
  "dos_ef_per_ev_atom": 1.17,
  "delta_e_f_mev_per_atom": -172
}

---

Record 19
{
  "formula": "AcAsIO4",
  "functional": "PBE",
  "state": "relaxed",
  "lattice_angstrom": [[-2.696, -6.399, 1.012], [-0.947, -4.487, -5.311], [6.164, -3.790, 0.559]],
  "species": ["Ac", "Ac", "As", "As", "I", "I", "O", "O", "O", "O", "O", "O", "O", "O"],
  "frac_coords": [[0.298, 0.298, 0.811], [0.702, 0.702, 0.189], [0.635, 0.635, 0.750], [0.365, 0.365, 0.250], [0.024, 0.024, 0.313], [0.976, 0.976, 0.687], [0.299, 0.299, 0.478], [0.701, 0.701, 0.522], [0.125, 0.516, 0.126], [0.505, 0.505, 0.233], [0.484, 0.875, 0.874], [0.516, 0.125, 0.126], [0.495, 0.495, 0.767], [0.875, 0.484, 0.874]],
  "formation_energy_uncorrected_ev_per_atom": -1.914
}

---

Record 20
{
  "formula": "Pr2ScPt2",
  "functional": "PBE",
  "state": "relaxed",
  "lattice_angstrom": [[6.031, 0.000, 0.000], [0.000, 7.967, 0.000], [-3.016, -3.984, 5.555]],
  "species": ["Pr", "Pr", "Pr", "Pr", "Sc", "Sc", "Pt", "Pt", "Pt", "Pt"],
  "frac_coords": [[0.844, 0.701, 0.688], [0.156, 0.299, 0.312], [0.656, 0.014, 0.312], [0.344, 0.986, 0.688], [0.750, 0.500, 0.000], [0.250, 0.500, 0.000], [0.403, 0.658, 0.806], [0.597, 0.342, 0.194], [0.097, 0.852, 0.194], [0.903, 0.148, 0.806]],
  "relative_energy_mev_per_atom": 92,
  "dos_ef_per_ev_atom": 0.70,
  "delta_e_f_mev_per_atom": -899
}

---

Number 1: spin magnetization 1.3 Bohr magnetons per cell. Number 2: spin magnetization 0.0 Bohr magnetons per cell. Number 3: spin magnetization 0.0 Bohr magnetons per cell. Number 4: spin magnetization 1.3 Bohr magnetons per cell. Number 5: spin magnetization 2.8 Bohr magnetons per cell. Number 6: spin magnetization 0.0 Bohr magnetons per cell. Number 7: spin magnetization 0.0 Bohr magnetons per cell. Number 8: spin magnetization 0.0 Bohr magnetons per cell. Number 9: spin magnetization 3.0 Bohr magnetons per cell. Number 10: spin magnetization 0.0 Bohr magnetons per cell. Number 11: spin magnetization 0.0 Bohr magnetons per cell. Number 12: spin magnetization 0.0 Bohr magnetons per cell. Number 13: spin magnetization 23.7 Bohr magnetons per cell. Number 14: spin magnetization 0.8 Bohr magnetons per cell. Number 15: spin magnetization 1.1 Bohr magnetons per cell. Number 16: spin magnetization 0.0 Bohr magnetons per cell. Number 17: spin magnetization 0.0 Bohr magnetons per cell. Number 18: spin magnetization 0.0 Bohr magnetons per cell. Number 19: spin magnetization 0.0 Bohr magnetons per cell. Number 20: spin magnetization 0.0 Bohr magnetons per cell.